Here is an optimized crystal structure of LiZnO3 from the Alexandria database. Energies are from PBE-GGA.

a = 3.566 Å, b = 3.566 Å, c = 3.566 Å
α = 90.00°, β = 90.00°, γ = 90.00°
Space group Pm-3m (No. 221)
Asymmetric unit:
1 Li 0.000 0.000 0.000 x1
2 Zn 0.500 0.500 0.500 x1
3 O 0.000 0.000 0.500 x3

* DOS at the Fermi energy: 0.42 states/eV per atom
* ΔE_f (raw): -0.43 eV per formula unit